# Mn2CrAu, relaxed, DFT PBE
data_Mn2CrAu
_symmetry_space_group_name_H-M 'P 1'
_symmetry_Int_Tables_number 1
_symmetry_space_group_name_Hall 'P 1'
_cell_length_a 4.8494
_cell_length_b 4.8494
_cell_length_c 4.8494
_cell_angle_alpha 133.64
_cell_angle_beta 133.63
_cell_angle_gamma 67.66
loop_
_atom_site_label
_atom_site_type_symbol
_atom_site_fract_x
_atom_site_fract_y
_atom_site_fract_z
Au1 Au 0.5000 0.5000 0.0000
Cr1 Cr 0.7500 0.2500 0.5000
Mn1 Mn 0.0000 0.0000 0.0000
Mn2 Mn 0.2500 0.7500 0.5000
# - E_tot: -7.737 eV per atom
# - Spin magnetization: 3.76 μB/f.u.



# MnCrAu, relaxed, DFT PBE
data_MnCrAu
_symmetry_space_group_name_H-M 'P 1'
_symmetry_Int_Tables_number 1
_symmetry_space_group_name_Hall 'P 1'
_cell_length_a 4.2880
_cell_length_b 4.2880
_cell_length_c 2.9030
_cell_angle_alpha 90.00
_cell_angle_beta 90.00
_cell_angle_gamma 120.00
loop_
_atom_site_label
_atom_site_type_symbol
_atom_site_fract_x
_atom_site_fract_y
_atom_site_fract_z
Cr1 Cr 0.0000 0.0000 0.5000
Mn1 Mn 0.3333 0.6667 0.5000
Au1 Au 0.6667 0.3333 0.0000
# - Spin magnetization: 0.08 μB/f.u.
# - Polymorph energy (0 for the lowest one): 136.9 meV/atom



# MnCr2Au, relaxed, DFT PBE
data_MnCr2Au
_symmetry_space_group_name_H-M 'P 1'
_symmetry_Int_Tables_number 1
_symmetry_space_group_name_Hall 'P 1'
_cell_length_a 2.6643
_cell_length_b 2.6643
_cell_length_c 8.3029
_cell_angle_alpha 90.00
_cell_angle_beta 90.00
_cell_angle_gamma 110.78
loop_
_atom_site_label
_atom_site_type_symbol
_atom_site_fract_x
_atom_site_fract_y
_atom_site_fract_z
Au1 Au 0.5000 0.5000 0.7513
Cr1 Cr 0.0000 0.0000 0.0314
Cr2 Cr 0.5000 0.5000 0.2439
Mn1 Mn 0.0000 0.0000 0.4735
# - Spin magnetization: 2.79 μB/f.u.
# - Polymorph energy (0 for the lowest one): 128.0 meV/atom



# MnCrAu, relaxed, DFT PBE
data_MnCrAu
_symmetry_space_group_name_H-M 'P 1'
_symmetry_Int_Tables_number 1
_symmetry_space_group_name_Hall 'P 1'
_cell_length_a 6.3979
_cell_length_b 2.9275
_cell_length_c 4.9985
_cell_angle_alpha 90.00
_cell_angle_beta 105.23
_cell_angle_gamma 90.00
loop_
_atom_site_label
_atom_site_type_symbol
_atom_site_fract_x
_atom_site_fract_y
_atom_site_fract_z
Cr1 Cr 0.8858 0.0000 0.4197
Cr2 Cr 0.8858 0.5000 0.9197
Mn1 Mn 0.1485 0.0000 0.1683
Mn2 Mn 0.1485 0.5000 0.6683
Au1 Au 0.5166 0.0000 0.6297
Au2 Au 0.5166 0.5000 0.1297
# - Spin magnetization: 0.65 μB/f.u.
# - Polymorph energy (0 for the lowest one): 245.9 meV/atom



Look up the spin magnetization of the first one. 3.76 μB/f.u.